No. 1
A relaxed AlInTc crystal. Source: Alexandria via LeMat-Bulk, functional PBE.

VASP energy: -5.64 eV per atom
energy of formation from the pure elements: -24 meV per atom
distance to the lowest polymorph of the same formula: 0.00 eV/f.u.
N(E_F): 0.9084 states/eV/atom
spin magnetization: 0.5 μB/f.u.

```
6
Lattice="3.2928 0.0000 0.0000 0.0000 3.2928 0.0000 0.0000 0.0000 9.4702" Properties=species:S:1:pos:R:3 pbc="T T T"
Al 0.0000 0.0000 0.0000
Al 1.6464 1.6464 4.7351
In 0.0000 0.0000 2.8346
In 1.6464 1.6464 7.5698
Tc 0.0000 0.0000 5.8443
Tc 1.6464 1.6464 1.1092
```

No. 2
A relaxed AlIn2Tc crystal. Source: Alexandria via LeMat-Bulk, functional PBE.

VASP energy: -4.54 eV per atom
energy of formation from the pure elements: 360 meV per atom
N(E_F): 0.4369 states/eV/atom
spin magnetization: 0.9 μB/f.u.

```
8
Lattice="5.6938 0.0000 0.0000 0.0000 9.2345 0.0000 -1.1207 0.0000 2.8945" Properties=species:S:1:pos:R:3 pbc="T T T"
Al 0.0000 0.0000 0.0000
Al 2.8469 4.6172 0.0000
In 0.8631 2.3086 1.4472
In 0.8631 6.9259 1.4472
In 3.7100 2.3086 1.4472
In 3.7100 6.9259 1.4472
Tc 0.0000 4.6172 0.0000
Tc 2.8469 0.0000 0.0000
```

No. 3
A relaxed AlIn2Tc crystal. Source: Alexandria via LeMat-Bulk, functional PBE.

VASP energy: -4.71 eV per atom
energy of formation from the pure elements: 186 meV per atom
N(E_F): 0.6239 states/eV/atom
spin magnetization: 0.6 μB/f.u.

```
8
Lattice="4.0094 0.0000 0.0000 0.0000 4.1689 0.0000 0.0000 0.0000 8.7176" Properties=species:S:1:pos:R:3 pbc="T T T"
Al 0.0000 0.0000 0.0000
Al 2.0047 2.0845 4.3588
In 0.0000 2.0845 2.1909
In 0.0000 2.0845 6.5267
In 2.0047 0.0000 2.1679
In 2.0047 0.0000 6.5497
Tc 0.0000 0.0000 4.3588
Tc 2.0047 2.0845 0.0000
```

- What is the energy of formation from the pure elements in the first record?
  -24 meV per atom